Computed, not measured: an optimized crystal structure of Sn2Bi5Pb5 at the PBE level of DFT.

Cell lengths 17.8926, 3.4289, 13.8702 Å; angles 90.00, 114.82, 90.00 degrees
Closest atoms and distances in Å follow each position.
Space group C2/m (No. 12)
Unique sites:
1 Sn 0.2476 0.0000 0.2514 (multiplicity 4)  3 Bi 3.13-3.33, 2 Sn 3.43, 2 Pb 3.47
2 Bi 0.0000 0.5000 0.5000 (multiplicity 2)  8 Pb 3.42-3.47, 2 Bi 3.43
3 Bi 0.0916 0.5000 0.2628 (multiplicity 4)  5 Pb 3.31-3.52, 2 Sn 3.33, 2 Bi 3.43
4 Bi 0.1673 0.0000 0.0030 (multiplicity 4)  1 Sn 3.13, 3 Pb 3.31-3.43, 4 Bi 3.43-3.45
5 Pb 0.0000 0.5000 0.0000 (multiplicity 2)  6 Bi 3.31-3.43, 2 Pb 3.43
6 Pb 0.0808 0.0000 0.7398 (multiplicity 4)  5 Bi 3.31-3.52, 2 Pb 3.43, 2 Sn 3.47
7 Pb 0.1667 0.0000 0.5049 (multiplicity 4)  4 Bi 3.42-3.50, 4 Pb 3.43-3.49, 2 Sn 3.52

=====

Computed, not measured: an optimized crystal structure of Rb2LiCdCl5 at the PBE level of DFT.

Cell lengths 4.1764, 19.0054, 13.4287 Å; angles 90.00, 90.00, 90.00 degrees
Closest atoms and distances in Å follow each position.
Space group Cmc2_1 (No. 36)
Unique sites:
1 Rb 0.0000 0.1128 0.0000 (multiplicity 4)  5 Cl 3.28-3.34
2 Rb 0.0000 0.1281 0.6244 (multiplicity 4)  7 Cl 3.28-3.54
3 Li 0.0000 0.4295 0.7558 (multiplicity 4)  4 Cl 2.32-2.46
4 Cd 0.0000 0.2101 0.3341 (multiplicity 4)  6 Cl 2.55-2.80
5 Cl 0.0000 0.0715 0.3453 (multiplicity 4)  2 Li 2.41, 1 Cd 2.64
6 Cl 0.0000 0.2869 0.9657 (multiplicity 4)  2 Cd 2.74
7 Cl 0.0000 0.3069 0.6977 (multiplicity 4)  1 Li 2.46
8 Cl 0.0000 0.3437 0.3161 (multiplicity 4)  1 Cd 2.55
9 Cl 0.0000 0.4954 0.6101 (multiplicity 4)  1 Li 2.32

=====

Computed, not measured: an optimized crystal structure of LiCa2PmAu4 at the PBE level of DFT.

Cell lengths 5.0746, 5.0746, 24.8395 Å; angles 90.00, 90.00, 120.00 degrees
Closest atoms and distances in Å follow each position.
Space group R-3m (No. 166, hexagonal axes)
Unique sites:
1 Li 0.0000 0.0000 0.0000 (multiplicity 3)  8 Au 3.13-3.15, 6 Ca 3.50
2 Ca 0.0000 0.0000 0.2566 (multiplicity 6)  8 Au 3.00-3.23
3 Pm 0.0000 0.0000 0.5000 (multiplicity 3)  8 Au 3.04-3.09
4 Au 0.0000 0.0000 0.1267 (multiplicity 6)  3 Pm 3.09, 1 Li 3.15, 4 Ca 3.18-3.23
5 Au 0.0000 0.0000 0.3775 (multiplicity 6)  4 Ca 3.00-3.04, 1 Pm 3.04, 3 Li 3.13

=====

Listing E for the structures above in their given order: -3.780; -3.202; -3.677 eV per atom.